GGA-PBE CaCeGd, optimized geometry; formation enthalpy at 0 K = 0.15 eV per atom; ΔE to the lowest computed polymorph = 20 meV/atom; crystal system = tetragonal; total DFT energy (no corrections) = -43.11 eV/cell
1.0
3.569 0.000 0.000
0.000 3.569 0.000
0.000 0.000 16.190
Ca Ce Gd
2 2 2
Direct
0.000 0.000 0.000
0.500 0.500 0.500
0.000 0.000 0.326
0.500 0.500 0.826
0.000 0.000 0.678
0.500 0.500 0.178